Record 1
Computed, not measured: a relaxed LaAs2Ru crystal at the PBE level of DFT.

Cell: 3.262 3.262 7.223 Å, 90.00 90.00 90.10°
Fractional positions:
As (0.000, 0.000, 0.948)
As (0.000, 0.000, 0.552)
Ru (0.500, 0.500, 0.750)
La (0.500, 0.500, 0.250)

Fermi-level density of states = 3.76 states/eV/cell
ΔE to the lowest computed polymorph = 542.3 meV per atom
Crystal system = orthorhombic
Total magnetic moment = 0.0 μB/cell
Energy of formation = -0.37 eV per atom



Record 2
Computed, not measured: a relaxed La2Er2Th crystal at the PBE level of DFT.

Cell: 3.582 5.157 9.347 Å, 106.00 90.00 90.00°
Fractional positions:
Er (0.500, 0.596, 0.192)
La (0.000, 0.194, 0.389)
Th (0.000, 0.000, 0.000)
Er (0.500, 0.404, 0.808)
La (0.000, 0.806, 0.611)

Fermi-level density of states = 6.70 states/eV/cell
ΔE to the lowest computed polymorph = 42.8 meV per atom
Crystal system = orthorhombic
Total magnetic moment = 0.0 μB/cell
Energy of formation = 0.06 eV per atom



Record 3
Computed, not measured: a relaxed Pu2SiO5 crystal at the PBE level of DFT.

Cell: 6.094 6.094 8.138 Å, 68.02 68.02 90.00°
Fractional positions:
Pu (0.500, 0.500, 0.000)
O (0.710, 0.190, 0.119)
O (0.829, 0.810, 0.881)
O (0.810, 0.290, 0.381)
O (0.375, 0.625, 0.250)
O (0.290, 0.810, 0.881)
O (0.190, 0.710, 0.619)
Pu (0.500, 0.000, 0.000)
Si (0.125, 0.875, 0.750)
O (0.190, 0.171, 0.619)
O (0.625, 0.375, 0.750)
Pu (0.000, 0.500, 0.500)
Pu (0.500, 0.500, 0.500)
O (0.171, 0.190, 0.119)
Si (0.875, 0.125, 0.250)
O (0.810, 0.829, 0.381)

Fermi-level density of states = 32.63 states/eV/cell
E_form (uncorrected) = -268.7 kJ/mol of atoms
Crystal system = tetragonal
Total magnetic moment = 20.0 μB/cell



Record 4
Computed, not measured: a relaxed Ho3Al6Ag20 crystal at the PBE level of DFT.

Cell: 9.236 9.236 9.236 Å, 60.00 60.00 60.00°
Fractional positions:
Ag (0.852, 0.383, 0.383)
Al (0.264, 0.736, 0.264)
Al (0.736, 0.736, 0.264)
Ag (0.651, 0.000, 0.000)
Al (0.736, 0.264, 0.264)
Ag (0.383, 0.383, 0.383)
Ag (0.000, 0.651, 0.349)
Ag (0.349, 0.000, 0.000)
Ag (0.651, 0.349, 0.000)
Ag (0.617, 0.148, 0.617)
Ag (0.000, 0.000, 0.651)
Ag (0.000, 0.349, 0.000)
Ag (0.617, 0.617, 0.617)
Ag (0.651, 0.000, 0.349)
Ho (0.750, 0.750, 0.750)
Al (0.264, 0.736, 0.736)
Al (0.264, 0.264, 0.736)
Al (0.736, 0.264, 0.736)
Ag (0.383, 0.852, 0.383)
Ag (0.000, 0.000, 0.349)
Ag (0.000, 0.651, 0.000)
Ho (0.250, 0.250, 0.250)
Ag (0.349, 0.651, 0.000)
Ag (0.617, 0.617, 0.148)
Ag (0.349, 0.000, 0.651)
Ho (0.000, 0.000, 0.000)
Ag (0.383, 0.383, 0.852)
Ag (0.000, 0.349, 0.651)
Ag (0.148, 0.617, 0.617)

Fermi-level density of states = 13.24 states/eV/cell
Crystal system = cubic
Total magnetic moment = 0.0 μB/cell
Energy of formation = -0.06 eV per atom



Record 5
Computed, not measured: a relaxed Pr4EuGd crystal at the PBE level of DFT.

Cell: 6.871 6.871 6.871 Å, 60.00 60.00 60.00°
Fractional positions:
Pr (0.129, 0.624, 0.624)
Pr (0.624, 0.624, 0.624)
Eu (0.000, 0.000, 0.000)
Gd (0.250, 0.250, 0.250)
Pr (0.624, 0.129, 0.624)
Pr (0.624, 0.624, 0.129)

Fermi-level density of states = 10.85 states/eV/cell
Crystal system = cubic
Total magnetic moment = 0.0 μB/cell
Energy of formation = 0.21 eV per atom



Record 6
Computed, not measured: a relaxed CsBS2 crystal at the PBE level of DFT.

Cell: 9.833 9.833 9.833 Å, 151.96 143.24 46.86°
Fractional positions:
Cs (0.142, 0.142, 0.000)
S (0.663, 0.663, 0.000)
B (0.433, 0.433, 0.000)
S (0.730, 0.500, 0.230)
S (0.337, 0.337, 0.000)
Cs (0.858, 0.858, 0.000)
S (0.270, 0.500, 0.770)
B (0.567, 0.567, 0.000)

Fermi-level density of states = 0.00 states/eV/cell
ΔE to the lowest computed polymorph = 28.6 meV per atom
E_form (uncorrected) = -82.9 kJ/mol of atoms
Crystal system = orthorhombic
Total magnetic moment = 0.0 μB/cell



Record 7
Computed, not measured: a relaxed Ta2HgOs crystal at the PBE level of DFT.

Cell: 9.289 9.289 9.289 Å, 18.92 18.92 18.92°
Fractional positions:
Ta (0.005, 0.005, 0.005)
Os (0.743, 0.743, 0.743)
Ta (0.254, 0.254, 0.254)
Hg (0.498, 0.498, 0.498)

Fermi-level density of states = 4.15 states/eV/cell
Crystal system = trigonal
Total magnetic moment = 0.0 μB/cell
Energy of formation = 0.31 eV per atom



Record 8
Computed, not measured: a relaxed Rb3PaAg2O6 crystal at the PBE level of DFT.

Cell: 6.520 6.520 7.443 Å, 90.00 90.00 120.00°
Fractional positions:
Rb (0.000, 0.000, 0.000)
O (0.149, 0.298, 0.318)
Rb (0.333, 0.667, 0.714)
O (0.702, 0.851, 0.318)
O (0.851, 0.149, 0.682)
O (0.851, 0.702, 0.682)
O (0.149, 0.851, 0.318)
Ag (0.667, 0.333, 0.720)
Pa (0.000, 0.000, 0.500)
Rb (0.667, 0.333, 0.286)
O (0.298, 0.149, 0.682)
Ag (0.333, 0.667, 0.280)

Fermi-level density of states = 8.52 states/eV/cell
E_form (uncorrected) = -149.2 kJ/mol of atoms
Crystal system = trigonal
Total magnetic moment = 0.0 μB/cell



Record 9
Computed, not measured: a relaxed SiP2Se crystal at the PBE level of DFT.

Cell: 8.313 8.313 8.313 Å, 158.01 156.50 32.40°
Fractional positions:
P (0.894, 0.894, 0.000)
Se (0.600, 0.600, 0.000)
Si (0.206, 0.706, 0.500)
P (0.801, 0.301, 0.500)

Fermi-level density of states = 2.01 states/eV/cell
ΔE to the lowest computed polymorph = 340.5 meV per atom
E_form (uncorrected) = 27.8 kJ/mol of atoms
Crystal system = orthorhombic
Total magnetic moment = 0.0 μB/cell



Record 10
Computed, not measured: a relaxed NaRh2Pb4 crystal at the PBE level of DFT.

Cell: 7.084 6.504 9.154 Å, 114.25 115.78 82.13°
Fractional positions:
Rh (0.119, 0.255, 0.744)
Na (0.057, 0.086, 0.994)
Rh (0.639, 0.259, 0.758)
Rh (0.557, 0.924, 0.170)
Pb (0.264, 0.607, 0.097)
Pb (0.509, 0.130, 0.953)
Pb (0.950, 0.206, 0.379)
Pb (0.820, 0.589, 0.733)
Pb (0.807, 0.919, 0.542)
Pb (0.421, 0.257, 0.405)
Na (0.313, 0.842, 0.509)
Pb (0.821, 0.578, 0.121)
Pb (0.340, 0.601, 0.770)
Rh (0.633, 0.498, 0.325)

Fermi-level density of states = 6.84 states/eV/cell
ΔE to the lowest computed polymorph = 0.0 meV per atom
Crystal system = triclinic
Total magnetic moment = 0.0 μB/cell
Energy of formation = -0.05 eV per atom



Record 11
Computed, not measured: a relaxed NaHf2I8 crystal at the PBE level of DFT.

Cell: 5.848 9.963 9.966 Å, 120.01 90.00 90.00°
Fractional positions:
Na (0.000, 0.000, 0.000)
Hf (0.227, 0.333, 0.667)
I (0.745, 0.824, 0.174)
I (0.255, 0.176, 0.826)
I (0.256, 0.667, 0.333)
I (0.745, 0.826, 0.650)
I (0.255, 0.650, 0.824)
I (0.744, 0.333, 0.667)
Hf (0.773, 0.667, 0.333)
I (0.745, 0.350, 0.176)
I (0.255, 0.174, 0.350)

Fermi-level density of states = 4.39 states/eV/cell
ΔE to the lowest computed polymorph = 65.2 meV per atom
E_form (uncorrected) = -71.3 kJ/mol of atoms
Crystal system = trigonal
Total magnetic moment = 0.9 μB/cell



Record 12
Computed, not measured: a relaxed NdAl4OsPt2 crystal at the PBE level of DFT.

Cell: 4.254 4.254 9.277 Å, 76.75 76.75 60.00°
Fractional positions:
Al (0.135, 0.135, 0.596)
Al (0.865, 0.865, 0.404)
Os (0.500, 0.500, 0.500)
Pt (0.235, 0.235, 0.296)
Pt (0.765, 0.765, 0.704)
Al (0.595, 0.595, 0.215)
Nd (0.000, 0.000, 0.000)
Al (0.405, 0.405, 0.785)

Fermi-level density of states = 2.92 states/eV/cell
Crystal system = trigonal
Total magnetic moment = 0.0 μB/cell
Energy of formation = -0.80 eV per atom